[1]
Compound: AlIn4Sb
Source: Alexandria
Functional: GGA-PBE
Structure: relaxed

a b c (Å): 6.1730 6.1730 6.1730
angles (deg): 60.00 60.00 60.00
Sites, in units of the cell vectors:
1 Al 0.0000 0.0000 0.0000
2 In 0.1252 0.6249 0.6249
3 In 0.6249 0.1252 0.6249
4 In 0.6249 0.6249 0.1252
5 In 0.6249 0.6249 0.6249
6 Sb 0.2500 0.2500 0.2500

Output
Uncorrected formation energy (eV per formula unit): 1.85
V (Å³ per atom): 27.72

=====

[2]
Compound: YErGeIr
Source: Alexandria
Functional: GGA-PBE
Structure: relaxed

a b c (Å): 4.0491 5.7265 5.7265
angles (deg): 41.87 90.00 90.00
Sites, in units of the cell vectors:
1 Y 0.0000 0.0000 0.0000
2 Er 0.5000 0.2814 0.2814
3 Ge 0.5000 0.5700 0.5700
4 Ir 0.0000 0.7246 0.7246

Output
ΔE to the lowest computed polymorph (meV per atom): 0
DFT formation energy (eV/atom): -0.873
V (Å³ per atom): 22.16

=====

[3]
Compound: NiBiAs
Source: Alexandria
Functional: GGA-PBE
Structure: relaxed

a b c (Å): 4.4461 4.4461 4.4461
angles (deg): 60.00 60.00 60.00
Sites, in units of the cell vectors:
1 Ni 0.0000 0.0000 0.0000
2 Bi 0.7500 0.7500 0.7500
3 As 0.2500 0.2500 0.2500

Output
ΔE to the lowest computed polymorph (meV per atom): 128
DFT formation energy (eV/atom): -0.011
V (Å³ per atom): 20.72

=====

[4]
Compound: V2Fe3Co4
Source: Alexandria
Functional: GGA-PBE
Structure: relaxed

a b c (Å): 4.3530 4.3530 7.5734
angles (deg): 106.00 106.00 48.16
Sites, in units of the cell vectors:
1 V 0.1641 0.1641 0.2151
2 V 0.8359 0.8359 0.7849
3 Fe 0.1635 0.1635 0.5575
4 Fe 0.5000 0.5000 0.0000
5 Fe 0.8365 0.8365 0.4425
6 Co 0.1668 0.1668 0.8894
7 Co 0.4994 0.4994 0.3359
8 Co 0.5006 0.5006 0.6641
9 Co 0.8332 0.8332 0.1106

Output
DFT formation energy (eV/atom): -0.064
V (Å³ per atom): 11.33

=====

[5]
Compound: ZnFe2Cl
Source: Alexandria
Functional: GGA-PBE
Structure: relaxed

a b c (Å): 2.8734 3.5488 6.3661
angles (deg): 90.00 90.00 90.00
Sites, in units of the cell vectors:
1 Zn 0.0000 0.0000 0.0000
2 Fe 0.5000 0.5000 0.1883
3 Fe 0.5000 0.5000 0.8117
4 Cl 0.0000 0.5000 0.5000

Output
ΔE to the lowest computed polymorph (meV per atom): 68
Uncorrected formation energy (eV per formula unit): 0.54
V (Å³ per atom): 16.23

=====

[6]
Compound: Mn2CdSb
Source: Alexandria
Functional: GGA-PBE
Structure: relaxed

a b c (Å): 3.4702 3.4702 6.0583
angles (deg): 90.00 90.00 90.00
Sites, in units of the cell vectors:
1 Mn 0.0000 0.0000 0.2355
2 Mn 0.0000 0.0000 0.7645
3 Cd 0.5000 0.5000 0.5000
4 Sb 0.5000 0.5000 0.0000

Output
ΔE to the lowest computed polymorph (meV per atom): 16
Uncorrected formation energy (eV per formula unit): 1.07
V (Å³ per atom): 18.24

=====

[7]
Compound: DyYEr2Tm6
Source: Alexandria
Functional: GGA-PBE
Structure: relaxed

a b c (Å): 8.6753 8.6753 9.4189
angles (deg): 93.76 93.76 118.09
Sites, in units of the cell vectors:
1 Dy 0.0909 0.9091 0.7500
2 Dy 0.9091 0.0909 0.2500
3 Y 0.4768 0.5232 0.2500
4 Y 0.5232 0.4768 0.7500
5 Er 0.1953 0.3049 0.9558
6 Er 0.3049 0.1953 0.4558
7 Er 0.6951 0.8047 0.5442
8 Er 0.8047 0.6951 0.0442
9 Tm 0.0024 0.7891 0.3808
10 Tm 0.0710 0.5222 0.1842
11 Tm 0.2109 0.9976 0.1192
12 Tm 0.2503 0.6268 0.5567
13 Tm 0.3732 0.7497 0.9433
14 Tm 0.4778 0.9290 0.3158
15 Tm 0.5222 0.0710 0.6842
16 Tm 0.6268 0.2503 0.0567
17 Tm 0.7497 0.3732 0.4433
18 Tm 0.7891 0.0024 0.8808
19 Tm 0.9290 0.4778 0.8158
20 Tm 0.9976 0.2109 0.6192

Output
DFT formation energy (eV/atom): 0.121
V (Å³ per atom): 31.01

=====

[8]
Compound: Te4Se2I3
Source: Alexandria
Functional: GGA-PBE
Structure: relaxed

a b c (Å): 9.6001 9.6001 8.3841
angles (deg): 94.39 94.39 90.91
Sites, in units of the cell vectors:
1 Te 0.0678 0.7163 0.6001
2 Te 0.2413 0.3793 0.0868
3 Te 0.2837 0.9322 0.8999
4 Te 0.3793 0.2413 0.5868
5 Te 0.6207 0.7587 0.4132
6 Te 0.7163 0.0678 0.1001
7 Te 0.7587 0.6207 0.9132
8 Te 0.9322 0.2837 0.3999
9 Se 0.1532 0.4166 0.3932
10 Se 0.4166 0.1532 0.8932
11 Se 0.5834 0.8468 0.1068
12 Se 0.8468 0.5834 0.6068
13 I 0.0042 0.7513 0.0604
14 I 0.2487 0.9958 0.4396
15 I 0.4684 0.5316 0.7500
16 I 0.5316 0.4684 0.2500
17 I 0.7513 0.0042 0.5604
18 I 0.9958 0.2487 0.9396

Output
Uncorrected formation energy (eV per formula unit): 1.00
V (Å³ per atom): 42.67

=====

[9]
Compound: SrTc3B
Source: Alexandria
Functional: GGA-PBE
Structure: relaxed

a b c (Å): 4.3470 4.3470 4.3470
angles (deg): 90.00 90.00 90.00
Sites, in units of the cell vectors:
1 Sr 0.0000 0.0000 0.0000
2 Tc 0.0000 0.5000 0.5000
3 Tc 0.5000 0.0000 0.5000
4 Tc 0.5000 0.5000 0.0000
5 B 0.5000 0.5000 0.5000

Output
ΔE to the lowest computed polymorph (meV per atom): 0
DFT formation energy (eV/atom): 0.588
V (Å³ per atom): 16.43

=====

[10]
Compound: Ca4TlHg2Pb
Source: Alexandria
Functional: GGA-PBE
Structure: relaxed

a b c (Å): 9.4399 9.4399 9.4399
angles (deg): 33.49 33.49 33.49
Sites, in units of the cell vectors:
1 Ca 0.1250 0.1250 0.1250
2 Ca 0.3752 0.3752 0.3752
3 Ca 0.6248 0.6248 0.6248
4 Ca 0.8750 0.8750 0.8750
5 Tl 0.0000 0.0000 0.0000
6 Hg 0.2534 0.2534 0.2534
7 Hg 0.7466 0.7466 0.7466
8 Pb 0.5000 0.5000 0.5000

Output
DFT formation energy (eV/atom): -0.545
V (Å³ per atom): 28.52

=====

[11]
Compound: SmPuNiS4
Source: Alexandria
Functional: GGA-PBE
Structure: relaxed

a b c (Å): 6.5363 5.6352 7.8140
angles (deg): 90.00 106.80 90.00
Sites, in units of the cell vectors:
1 Sm 0.2309 0.2500 0.4313
2 Sm 0.7691 0.7500 0.5687
3 Pu 0.2497 0.2500 0.9399
4 Pu 0.7503 0.7500 0.0601
5 Ni 0.2595 0.7500 0.1813
6 Ni 0.7405 0.2500 0.8187
7 S 0.0712 0.7500 0.3807
8 S 0.0761 0.7500 0.8992
9 S 0.4851 0.5105 0.7474
10 S 0.4851 0.9895 0.7474
11 S 0.5149 0.0105 0.2526
12 S 0.5149 0.4895 0.2526
13 S 0.9239 0.2500 0.1008
14 S 0.9288 0.2500 0.6193

Output
Uncorrected formation energy (eV per formula unit): -9.71
V (Å³ per atom): 19.68

=====

[12]
Compound: RbTc3S
Source: Alexandria
Functional: GGA-PBE
Structure: relaxed

a b c (Å): 4.8811 4.8811 4.8811
angles (deg): 90.00 90.00 90.00
Sites, in units of the cell vectors:
1 Rb 0.0000 0.0000 0.0000
2 Tc 0.0000 0.0000 0.5000
3 Tc 0.0000 0.5000 0.0000
4 Tc 0.5000 0.0000 0.0000
5 S 0.5000 0.5000 0.5000

Output
ΔE to the lowest computed polymorph (meV per atom): 2395
Uncorrected formation energy (eV per formula unit): 17.42
V (Å³ per atom): 23.26